(1)
! WAu3C | Alexandria via LeMat-Bulk | meta-GGA SCAN | PBEsol geometry; values from VASP
! Symmetry = Pm-3m, No. 221
! Calculated total energy = -274.448 eV per cell
&SYSTEM
  ibrav = 0, nat = 5, ntyp = 3
/
ATOMIC_SPECIES
W 183.84 W.upf
Au 196.97 Au.upf
C 12.01 C.upf
ATOMIC_POSITIONS angstrom
W 0.000 0.000 0.000
Au 0.000 0.000 2.484
Au 0.000 2.484 0.000
Au 2.484 0.000 0.000
C 2.484 2.484 2.484
CELL_PARAMETERS angstrom
4.968 0.000 0.000
0.000 4.968 0.000
0.000 0.000 4.968

(2)
! YAuC3 | Alexandria via LeMat-Bulk | meta-GGA SCAN | PBEsol geometry; values from VASP
! Symmetry = Pm-3m, No. 221
! Calculated total energy = -112.138 eV per cell
&SYSTEM
  ibrav = 0, nat = 5, ntyp = 3
/
ATOMIC_SPECIES
Y 88.91 Y.upf
Au 196.97 Au.upf
C 12.01 C.upf
ATOMIC_POSITIONS angstrom
Y 0.000 0.000 0.000
Au 2.186 2.186 2.186
C 0.000 0.000 2.186
C 0.000 2.186 0.000
C 2.186 0.000 0.000
CELL_PARAMETERS angstrom
4.372 0.000 0.000
0.000 4.372 0.000
0.000 0.000 4.372

(3)
! Y3AuC | Alexandria via LeMat-Bulk | meta-GGA SCAN | PBEsol geometry; values from VASP
! Symmetry = Pm-3m, No. 221
! Calculated total energy = -165.902 eV per cell
&SYSTEM
  ibrav = 0, nat = 5, ntyp = 3
/
ATOMIC_SPECIES
Y 88.91 Y.upf
Au 196.97 Au.upf
C 12.01 C.upf
ATOMIC_POSITIONS angstrom
Y 0.000 0.000 2.394
Y 0.000 2.394 0.000
Y 2.394 0.000 0.000
Au 2.394 2.394 2.394
C 0.000 0.000 0.000
CELL_PARAMETERS angstrom
4.788 0.000 0.000
0.000 4.788 0.000
0.000 0.000 4.788

(4)
! ZnAuC3 | Alexandria via LeMat-Bulk | meta-GGA SCAN | PBEsol geometry; values from VASP
! Symmetry = Pm-3m, No. 221
! Calculated total energy = -97.231 eV per cell
&SYSTEM
  ibrav = 0, nat = 5, ntyp = 3
/
ATOMIC_SPECIES
Zn 65.41 Zn.upf
Au 196.97 Au.upf
C 12.01 C.upf
ATOMIC_POSITIONS angstrom
Zn 0.000 0.000 0.000
Au 2.034 2.034 2.034
C 0.000 2.034 2.034
C 2.034 0.000 2.034
C 2.034 2.034 0.000
CELL_PARAMETERS angstrom
4.069 0.000 0.000
0.000 4.069 0.000
0.000 0.000 4.069

(5)
! ZrAuC2 | Alexandria via LeMat-Bulk | meta-GGA SCAN | PBEsol geometry; values from VASP
! Symmetry = I-42d, No. 122
! Calculated total energy = -233.552 eV per cell
&SYSTEM
  ibrav = 0, nat = 8, ntyp = 3
/
ATOMIC_SPECIES
Zr 91.22 Zr.upf
Au 196.97 Au.upf
C 12.01 C.upf
ATOMIC_POSITIONS angstrom
Zr 0.000 0.000 0.000
Zr 0.000 2.352 2.684
Au 2.352 0.000 2.684
Au 0.000 0.000 5.369
C 1.176 -1.094 4.027
C 1.258 1.176 1.342
C 1.176 3.446 -1.342
C 1.094 1.176 6.711
CELL_PARAMETERS angstrom
-2.352 2.352 5.369
2.352 -2.352 5.369
2.352 2.352 -5.369

(6)
! Zr3AuC | Alexandria via LeMat-Bulk | meta-GGA SCAN | PBEsol geometry; values from VASP
! Symmetry = Pm-3m, No. 221
! Calculated total energy = -175.152 eV per cell
&SYSTEM
  ibrav = 0, nat = 5, ntyp = 3
/
ATOMIC_SPECIES
Zr 91.22 Zr.upf
Au 196.97 Au.upf
C 12.01 C.upf
ATOMIC_POSITIONS angstrom
Zr 0.000 0.000 2.235
Zr 0.000 2.235 0.000
Zr 2.235 0.000 0.000
Au 2.235 2.235 2.235
C 0.000 0.000 0.000
CELL_PARAMETERS angstrom
4.470 0.000 0.000
0.000 4.470 0.000
0.000 0.000 4.470

Number 1: formation energy 247 kJ per mole of atoms, Fermi-level density of states 4.91 states/eV/cell. Number 2: formation energy 293 kJ per mole of atoms, Fermi-level density of states 2.40 states/eV/cell. Number 3: formation energy -60 kJ per mole of atoms, Fermi-level density of states 4.95 states/eV/cell. Number 4: formation energy 304 kJ per mole of atoms, Fermi-level density of states 2.76 states/eV/cell. Number 5: formation energy 79 kJ per mole of atoms, Fermi-level density of states 4.15 states/eV/cell. Number 6: formation energy -73 kJ per mole of atoms, Fermi-level density of states 1.80 states/eV/cell.